# SmTmPuO6

SmTmPuO6 after structural relaxation (PBE-GGA, Alexandria via LeMat-Bulk).

CIF file:
```
data_SmTmPuO6
_cell_length_a 5.7010
_cell_length_b 5.7010
_cell_length_c 9.6874
_cell_angle_alpha 90.00
_cell_angle_beta 90.00
_cell_angle_gamma 120.00
_symmetry_space_group_name_H-M 'P -3 1 c'
_symmetry_Int_Tables_number 163
_symmetry_space_group_name_Hall '-P 3 2c'
loop_
_atom_site_label
_atom_site_fract_x
_atom_site_fract_y
_atom_site_fract_z
Sm1 0.0000 0.0000 0.0000
Tm1 0.3333 0.6667 0.2500
Pu1 0.3333 0.6667 0.7500
O1 0.0209 0.3605 0.6364
```

Calculated values
Total DFT energy (no corrections): -161.870 eV/cell
Raw formation energy: -3074 meV per atom
Fermi-level density of states: 0.838 states/eV per atom

# Mg3Cd3CuRh2

Mg3Cd3CuRh2 after structural relaxation (PBE-GGA, Alexandria via LeMat-Bulk).

CIF file:
```
data_Mg3Cd3CuRh2
_cell_length_a 7.7617
_cell_length_b 7.7617
_cell_length_c 3.0793
_cell_angle_alpha 90.00
_cell_angle_beta 90.00
_cell_angle_gamma 120.00
_symmetry_space_group_name_H-M 'P -6 2 m'
_symmetry_Int_Tables_number 189
_symmetry_space_group_name_Hall 'P -6 -2'
loop_
_atom_site_label
_atom_site_fract_x
_atom_site_fract_y
_atom_site_fract_z
Mg1 0.0000 0.6080 0.0000
Cd1 0.0000 0.2846 0.5000
Cu1 0.0000 0.0000 0.0000
Rh1 0.3333 0.6667 0.5000
```

Calculated values
Total DFT energy (no corrections): -28.126 eV/cell
Fermi-level density of states: 0.426 states/eV per atom